# 1
Material: K2LiRhO4
Method: DFT, PBE-GGA
State: relaxed

Values from the calculation:
* electronic total energy: -79.90 eV for the cell shown
* energy relative to the elements, uncorrected: -1082 meV per atom

The structure in CIF format:
```
data_K2LiRhO4
_cell_length_a 11.2770
_cell_length_b 9.9043
_cell_length_c 6.4670
_cell_angle_alpha 84.29
_cell_angle_beta 60.92
_cell_angle_gamma 34.79
_space_group_name_H-M_alt 'P 1'
_space_group_IT_number 1
loop_
_space_group_symop_operation_xyz
'x,y,z'
loop_
_atom_site_label
_atom_site_fract_x
_atom_site_fract_y
_atom_site_fract_z
K1 0.0507 0.0507 0.6993
K2 0.3007 0.3007 0.9493
K3 0.6993 0.6993 0.0507
K4 0.9493 0.9493 0.3007
Li1 0.1250 0.1250 0.1250
Li2 0.8750 0.8750 0.8750
Rh1 0.3750 0.3750 0.3750
Rh2 0.6250 0.6250 0.6250
O1 0.0065 0.3344 0.4321
O2 0.2731 0.5679 0.6656
O3 0.3344 0.0065 0.7269
O4 0.4321 0.7269 0.0065
O5 0.5679 0.2731 0.9935
O6 0.6656 0.9935 0.2731
O7 0.7269 0.4321 0.3344
O8 0.9935 0.6656 0.5679
```

=====

# 2
Material: KLiRu2O8
Method: DFT, PBE-GGA
State: relaxed

Values from the calculation:
* electronic total energy: -74.25 eV for the cell shown
* energy relative to the elements, uncorrected: -1085 meV per atom

The structure in CIF format:
```
data_KLiRu2O8
_cell_length_a 5.3797
_cell_length_b 5.3797
_cell_length_c 7.9013
_cell_angle_alpha 93.78
_cell_angle_beta 93.78
_cell_angle_gamma 66.54
_space_group_name_H-M_alt 'P 1'
_space_group_IT_number 1
loop_
_space_group_symop_operation_xyz
'x,y,z'
loop_
_atom_site_label
_atom_site_fract_x
_atom_site_fract_y
_atom_site_fract_z
K1 0.0000 0.0000 0.0000
Li1 0.0000 0.0000 0.5000
Ru1 0.3721 0.3721 0.7146
Ru2 0.6279 0.6279 0.2854
O1 0.2290 0.2290 0.5531
O2 0.2364 0.7259 0.6958
O3 0.2741 0.7636 0.3042
O4 0.3030 0.3030 0.9156
O5 0.6970 0.6970 0.0844
O6 0.7259 0.2364 0.6958
O7 0.7636 0.2741 0.3042
O8 0.7710 0.7710 0.4469
```

=====

# 3
Material: KLi2RuO4
Method: DFT, PBE-GGA
State: relaxed

Values from the calculation:
* electronic total energy: -45.16 eV for the cell shown
* energy relative to the elements, uncorrected: -1390 meV per atom

The structure in CIF format:
```
data_KLi2RuO4
_cell_length_a 5.3483
_cell_length_b 5.3483
_cell_length_c 5.3483
_cell_angle_alpha 119.18
_cell_angle_beta 119.18
_cell_angle_gamma 91.42
_space_group_name_H-M_alt 'P 1'
_space_group_IT_number 1
loop_
_space_group_symop_operation_xyz
'x,y,z'
loop_
_atom_site_label
_atom_site_fract_x
_atom_site_fract_y
_atom_site_fract_z
K1 0.0000 0.0000 0.0000
Li1 0.2500 0.7500 0.5000
Li2 0.7500 0.2500 0.5000
Ru1 0.5000 0.5000 0.0000
O1 0.1558 0.5365 0.0000
O2 0.4635 0.4635 0.6194
O3 0.5365 0.1558 0.0000
O4 0.8442 0.8442 0.3806
```

=====

# 4
Material: K2Li2RuO4
Method: DFT, PBE-GGA
State: relaxed

Values from the calculation:
* electronic total energy: -47.85 eV for the cell shown
* energy relative to the elements, uncorrected: -1414 meV per atom

The structure in CIF format:
```
data_K2Li2RuO4
_cell_length_a 6.1209
_cell_length_b 6.1209
_cell_length_c 6.0979
_cell_angle_alpha 108.42
_cell_angle_beta 108.42
_cell_angle_gamma 31.60
_space_group_name_H-M_alt 'P 1'
_space_group_IT_number 1
loop_
_space_group_symop_operation_xyz
'x,y,z'
loop_
_atom_site_label
_atom_site_fract_x
_atom_site_fract_y
_atom_site_fract_z
K1 0.1347 0.1347 0.0512
K2 0.8653 0.8653 0.9488
Li1 0.3242 0.3242 0.5115
Li2 0.6758 0.6758 0.4885
Ru1 0.0000 0.0000 0.5000
O1 0.1814 0.1814 0.6369
O2 0.4875 0.4875 0.7064
O3 0.5125 0.5125 0.2936
O4 0.8186 0.8186 0.3631
```

=====

# 5
Material: K3LiRu2O8
Method: DFT, PBE-GGA
State: relaxed

Values from the calculation:
* electronic total energy: -81.77 eV for the cell shown
* energy relative to the elements, uncorrected: -1310 meV per atom

The structure in CIF format:
```
data_K3LiRu2O8
_cell_length_a 5.9060
_cell_length_b 5.9060
_cell_length_c 7.6826
_cell_angle_alpha 90.00
_cell_angle_beta 90.00
_cell_angle_gamma 120.00
_space_group_name_H-M_alt 'P 1'
_space_group_IT_number 1
loop_
_space_group_symop_operation_xyz
'x,y,z'
loop_
_atom_site_label
_atom_site_fract_x
_atom_site_fract_y
_atom_site_fract_z
K1 0.0000 0.0000 0.0000
K2 0.3333 0.6667 0.6529
K3 0.6667 0.3333 0.3471
Li1 0.0000 0.0000 0.5000
Ru1 0.3333 0.6667 0.2226
Ru2 0.6667 0.3333 0.7774
O1 0.1709 0.3418 0.3157
O2 0.1709 0.8291 0.3157
O3 0.3333 0.6667 0.9920
O4 0.3418 0.1709 0.6843
O5 0.6582 0.8291 0.3157
O6 0.6667 0.3333 0.0080
O7 0.8291 0.1709 0.6843
O8 0.8291 0.6582 0.6843
```

=====

# 6
Material: K2LiRuO6
Method: DFT, PBE-GGA
State: relaxed

Values from the calculation:
* electronic total energy: -52.81 eV for the cell shown
* energy relative to the elements, uncorrected: -967 meV per atom

The structure in CIF format:
```
data_K2LiRuO6
_cell_length_a 5.9075
_cell_length_b 5.9075
_cell_length_c 4.9981
_cell_angle_alpha 90.00
_cell_angle_beta 90.00
_cell_angle_gamma 120.00
_space_group_name_H-M_alt 'P 1'
_space_group_IT_number 1
loop_
_space_group_symop_operation_xyz
'x,y,z'
loop_
_atom_site_label
_atom_site_fract_x
_atom_site_fract_y
_atom_site_fract_z
K1 0.3333 0.6667 0.2198
K2 0.6667 0.3333 0.7802
Li1 0.0000 0.0000 0.0000
Ru1 0.0000 0.0000 0.5000
O1 0.1481 0.2961 0.7223
O2 0.1481 0.8519 0.7223
O3 0.2961 0.1481 0.2777
O4 0.7039 0.8519 0.7223
O5 0.8519 0.1481 0.2777
O6 0.8519 0.7039 0.2777
```

=====

# 7
Material: K3Li2RuO6
Method: DFT, PBE-GGA
State: relaxed

Values from the calculation:
* electronic total energy: -61.59 eV for the cell shown
* energy relative to the elements, uncorrected: -1287 meV per atom

The structure in CIF format:
```
data_K3Li2RuO6
_cell_length_a 5.5957
_cell_length_b 5.5957
_cell_length_c 6.1710
_cell_angle_alpha 98.19
_cell_angle_beta 98.19
_cell_angle_gamma 120.32
_space_group_name_H-M_alt 'P 1'
_space_group_IT_number 1
loop_
_space_group_symop_operation_xyz
'x,y,z'
loop_
_atom_site_label
_atom_site_fract_x
_atom_site_fract_y
_atom_site_fract_z
K1 0.0000 0.0000 0.0000
K2 0.3226 0.6774 0.0000
K3 0.6774 0.3226 0.0000
Li1 0.1724 0.8276 0.5000
Li2 0.8276 0.1724 0.5000
Ru1 0.5000 0.5000 0.5000
O1 0.1477 0.4363 0.3221
O2 0.2813 0.2813 0.6911
O3 0.4363 0.1477 0.3221
O4 0.5637 0.8523 0.6779
O5 0.7187 0.7187 0.3089
O6 0.8523 0.5637 0.6779
```

=====

# 8
Material: KLiSO4
Method: DFT, PBE-GGA
State: relaxed

Values from the calculation:
* electronic total energy: -79.55 eV for the cell shown
* energy relative to the elements, uncorrected: -1829 meV per atom

The structure in CIF format:
```
data_KLiSO4
_cell_length_a 5.8817
_cell_length_b 5.8817
_cell_length_c 6.2959
_cell_angle_alpha 90.00
_cell_angle_beta 90.00
_cell_angle_gamma 110.41
_space_group_name_H-M_alt 'P 1'
_space_group_IT_number 1
loop_
_space_group_symop_operation_xyz
'x,y,z'
loop_
_atom_site_label
_atom_site_fract_x
_atom_site_fract_y
_atom_site_fract_z
K1 0.0000 0.0000 0.0000
K2 0.0000 0.0000 0.5000
Li1 0.3623 0.6377 0.7500
Li2 0.6377 0.3623 0.2500
S1 0.3692 0.6308 0.2500
S2 0.6308 0.3692 0.7500
O1 0.2810 0.7190 0.0556
O2 0.2810 0.7190 0.4444
O3 0.2846 0.3587 0.2500
O4 0.3587 0.2846 0.7500
O5 0.6413 0.7154 0.2500
O6 0.7154 0.6413 0.7500
O7 0.7190 0.2810 0.5556
O8 0.7190 0.2810 0.9444
```

=====

# 9
Material: KLiS2O8
Method: DFT, PBE-GGA
State: relaxed

Values from the calculation:
* electronic total energy: -67.74 eV for the cell shown
* energy relative to the elements, uncorrected: -1400 meV per atom

The structure in CIF format:
```
data_KLiS2O8
_cell_length_a 5.3356
_cell_length_b 5.3356
_cell_length_c 7.4742
_cell_angle_alpha 90.00
_cell_angle_beta 90.00
_cell_angle_gamma 120.00
_space_group_name_H-M_alt 'P 1'
_space_group_IT_number 1
loop_
_space_group_symop_operation_xyz
'x,y,z'
loop_
_atom_site_label
_atom_site_fract_x
_atom_site_fract_y
_atom_site_fract_z
K1 0.0000 0.0000 0.0000
Li1 0.0000 0.0000 0.5000
S1 0.3333 0.6667 0.7315
S2 0.6667 0.3333 0.2685
O1 0.1806 0.3634 0.6672
O2 0.1828 0.8194 0.6672
O3 0.3333 0.6667 0.9304
O4 0.3634 0.1828 0.3328
O5 0.6366 0.8172 0.6672
O6 0.6667 0.3333 0.0696
O7 0.8172 0.1806 0.3328
O8 0.8194 0.6366 0.3328
```

=====

# 10
Material: K2LiS2O6
Method: DFT, PBE-GGA
State: relaxed

Values from the calculation:
* electronic total energy: -59.54 eV for the cell shown
* energy relative to the elements, uncorrected: -1585 meV per atom

The structure in CIF format:
```
data_K2LiS2O6
_cell_length_a 7.3382
_cell_length_b 7.3382
_cell_length_c 7.3382
_cell_angle_alpha 45.69
_cell_angle_beta 45.69
_cell_angle_gamma 45.69
_space_group_name_H-M_alt 'P 1'
_space_group_IT_number 1
loop_
_space_group_symop_operation_xyz
'x,y,z'
loop_
_atom_site_label
_atom_site_fract_x
_atom_site_fract_y
_atom_site_fract_z
K1 0.2418 0.2418 0.2418
K2 0.7582 0.7582 0.7582
Li1 0.5000 0.5000 0.5000
S1 0.0751 0.0751 0.0751
S2 0.9249 0.9249 0.9249
O1 0.1882 0.7540 0.7540
O2 0.2460 0.2460 0.8118
O3 0.2460 0.8118 0.2460
O4 0.7540 0.1882 0.7540
O5 0.7540 0.7540 0.1882
O6 0.8118 0.2460 0.2460
```

=====

Repeat the fifth record exactly.
Material: K3LiRu2O8
Method: DFT, PBE-GGA
State: relaxed

Values from the calculation:
* electronic total energy: -81.77 eV for the cell shown
* energy relative to the elements, uncorrected: -1310 meV per atom

The structure in CIF format:
```
data_K3LiRu2O8
_cell_length_a 5.9060
_cell_length_b 5.9060
_cell_length_c 7.6826
_cell_angle_alpha 90.00
_cell_angle_beta 90.00
_cell_angle_gamma 120.00
_space_group_name_H-M_alt 'P 1'
_space_group_IT_number 1
loop_
_space_group_symop_operation_xyz
'x,y,z'
loop_
_atom_site_label
_atom_site_fract_x
_atom_site_fract_y
_atom_site_fract_z
K1 0.0000 0.0000 0.0000
K2 0.3333 0.6667 0.6529
K3 0.6667 0.3333 0.3471
Li1 0.0000 0.0000 0.5000
Ru1 0.3333 0.6667 0.2226
Ru2 0.6667 0.3333 0.7774
O1 0.1709 0.3418 0.3157
O2 0.1709 0.8291 0.3157
O3 0.3333 0.6667 0.9920
O4 0.3418 0.1709 0.6843
O5 0.6582 0.8291 0.3157
O6 0.6667 0.3333 0.0080
O7 0.8291 0.1709 0.6843
O8 0.8291 0.6582 0.6843
```

=====

Which value of electronic total energy does entry 3 give?
-45.16 eV for the cell shown

=====

Which value of electronic total energy does entry 3 give?
-45.16 eV for the cell shown

=====

What is the electronic total energy in the sixth record?
-52.81 eV for the cell shown